The following is a PBE calculation of an optimized crystal structure of CaPmCl5, from Alexandria via LeMat-Bulk.

Properties
As for the energy relative to the elements, uncorrected: -2.267 eV/atom. The energy relative to the lowest polymorph listed for this composition is 0 meV per atom. The theoretical density is 2.77 Mg/m³. Its space-group type is No. 11. As for the total energy: -4.551 eV per atom.

Cell lengths 8.058, 4.092, 13.191 Å; angles 90.00, 93.78, 90.00 degrees
Sites, in units of the cell vectors:
Ca  0.085  0.250  0.134
Ca  0.915  0.750  0.866
Pm  0.417  0.750  0.347
Pm  0.583  0.250  0.653
Cl  0.081  0.750  0.311
Cl  0.129  0.250  0.927
Cl  0.325  0.250  0.481
Cl  0.342  0.750  0.138
Cl  0.386  0.750  0.707
Cl  0.614  0.250  0.293
Cl  0.658  0.250  0.862
Cl  0.675  0.750  0.519
Cl  0.871  0.750  0.073
Cl  0.919  0.250  0.689